VASP calculation (GGA-PBE) on RbNpMo after structural relaxation.

The space group is F-43m (No. 216) and the conventional cell measures 7.137, 7.137 and 7.137 Å, with angles of 90.00, 90.00 and 90.00 degrees. Symmetry generates all atoms from Rb at (0.000, 0.000, 0.000), Np at (0.000, 0.000, 0.500) and Mo at (0.250, 0.250, 0.750).

The density is 7.644 Mg/m³. The total energy comes out at -73.136 eV/cell.